# Mn8Al27Zn3

A PBEsol-optimized structure of Mn8Al27Zn3 (meta-GGA SCAN, the Alexandria database). Values from VASP.

Structure (Quantum ESPRESSO input):
```
&SYSTEM
  ibrav = 0, nat = 76, ntyp = 3
/
ATOMIC_SPECIES
Al 26.98 Al.upf
Zn 65.41 Zn.upf
Mn 54.94 Mn.upf
ATOMIC_POSITIONS angstrom
Al -2.395 5.277 7.728
Zn 0.000 9.138 8.634
Mn 1.240 3.046 6.684
Al 0.000 7.642 10.918
Al 0.000 3.046 4.413
Al 2.480 4.476 5.151
Al 2.263 10.769 9.255
Al 2.295 9.138 11.845
Al -1.410 0.793 10.555
Al 3.848 7.905 3.298
Al 0.000 10.634 10.918
Al 3.848 11.423 5.665
Al 2.480 1.616 5.151
Mn 3.848 1.109 9.833
Al 5.216 1.616 5.151
Al -2.263 10.769 9.255
Al 0.000 1.813 8.551
Mn 0.000 11.556 8.542
Al 2.263 7.507 9.255
Al -2.344 3.046 9.146
Mn 3.848 9.138 1.014
Al 0.000 0.761 6.184
Al 1.585 1.415 2.594
Al 3.848 6.854 5.665
Mn 0.000 3.046 1.927
Al 5.258 6.885 1.294
Al 5.216 4.476 5.151
Mn 3.848 4.984 9.833
Al 6.111 4.677 2.594
Al 2.344 3.046 9.146
Al -1.410 5.300 10.555
Zn 3.848 3.046 3.215
Al 0.000 4.280 8.551
Al 1.368 10.569 6.698
Mn 2.608 9.138 5.165
Mn 0.000 6.721 8.542
Mn 3.848 9.138 9.922
Al 2.438 11.392 1.294
Al 3.848 4.542 0.931
Zn 3.848 7.108 11.301
Mn 0.000 11.076 2.016
Al 6.192 9.138 2.702
Al -2.295 9.138 11.845
Mn 5.089 9.138 5.165
Zn 0.000 1.016 0.548
Mn -1.240 3.046 6.684
Al 1.410 0.793 10.555
Al 6.111 1.415 2.594
Al 1.504 9.138 2.702
Zn 3.848 11.169 11.301
Al 2.395 5.277 7.728
Al 3.848 9.138 7.436
Al 6.243 6.908 4.121
Al 2.395 0.816 7.728
Al 6.143 3.046 0.004
Al 5.258 11.392 1.294
Mn 0.000 7.201 2.016
Al 1.410 5.300 10.555
Al -2.395 0.816 7.728
Al 3.848 1.550 0.931
Mn 3.848 0.628 3.307
Al -2.263 7.507 9.255
Al 0.000 5.331 6.184
Mn 0.000 3.046 10.835
Al 3.848 10.372 3.298
Al 1.368 7.708 6.698
Al 1.453 11.369 4.121
Al -1.368 7.708 6.698
Zn 0.000 5.077 0.548
Al 1.585 4.677 2.594
Al -1.368 10.569 6.698
Al 1.553 3.046 0.004
Al 6.243 11.369 4.121
Al 2.438 6.885 1.294
Mn 3.848 5.464 3.307
Al 1.453 6.908 4.121
CELL_PARAMETERS angstrom
7.696 0.000 0.000
0.000 12.184 0.000
-3.848 0.000 11.849
```

Values from the calculation:
Volume: 1111 Å³ per cell
ΔE_f: -0.2167 eV/atom
Fermi-level density of states: 27.4 states/eV per cell
Space-group type: No. 63
Calculated density: 4.1 g cm⁻³